1) First-principles (meta-GGA SCAN) data for TlHgAu2 at its PBEsol-relaxed geometry, as listed in Alexandria via LeMat-Bulk.

Computed properties:
- SG: No. 38
- Mass density: 15657 kg/m3

a b c (Å): 4.3361 5.6439 5.6439
angles (deg): 37.84 90.00 90.00
Sites, in units of the cell vectors:
Tl (0.0000, 0.0000, 0.0000)
Hg (0.5000, 0.6959, 0.6959)
Au (0.0000, 0.2631, 0.2631)
Au (0.5000, 0.4278, 0.4278)



2) First-principles (meta-GGA SCAN) data for TlHgAu2 at its PBEsol-relaxed geometry, as listed in Alexandria via LeMat-Bulk.

Computed properties:
- SG: No. 25
- Mass density: 15852 kg/m3

a b c (Å): 3.1372 3.7784 7.0598
angles (deg): 90.00 90.00 90.00
Sites, in units of the cell vectors:
Tl (0.0000, 0.0000, 0.0000)
Hg (0.5000, 0.5000, 0.6913)
Au (0.0000, 0.0000, 0.4615)
Au (0.5000, 0.5000, 0.2601)



3) First-principles (meta-GGA SCAN) data for TlHgAu2 at its PBEsol-relaxed geometry, as listed in Alexandria via LeMat-Bulk.

Computed properties:
- SG: No. 8
- Mass density: 16151 kg/m3

a b c (Å): 5.0875 5.0875 4.7355
angles (deg): 104.82 104.82 44.21
Sites, in units of the cell vectors:
Tl (0.0000, 0.0000, 0.0000)
Hg (0.7645, 0.7645, 0.2956)
Au (0.2484, 0.2484, 0.7510)
Au (0.5102, 0.5102, 0.5239)



Which one sits at the bottom of the stability order? 3) does.



1) First-principles (meta-GGA SCAN) data for TlHgAu2 at its PBEsol-relaxed geometry, as listed in Alexandria via LeMat-Bulk.

Computed properties:
- SG: No. 166
- Mass density: 14646 kg/m3

a b c (Å): 7.0488 7.0488 7.0488
angles (deg): 32.63 32.63 32.63
Sites, in units of the cell vectors:
Tl (0.0000, 0.0000, 0.0000)
Hg (0.5000, 0.5000, 0.5000)
Au (0.2474, 0.2474, 0.2474)
Au (0.7526, 0.7526, 0.7526)



2) First-principles (meta-GGA SCAN) data for TlHgAu2 at its PBEsol-relaxed geometry, as listed in Alexandria via LeMat-Bulk.

Computed properties:
- SG: No. 99
- Mass density: 15952 kg/m3

a b c (Å): 3.4560 3.4560 6.9631
angles (deg): 90.00 90.00 90.00
Sites, in units of the cell vectors:
Tl (0.0000, 0.0000, 0.0000)
Hg (0.5000, 0.5000, 0.6956)
Au (0.0000, 0.0000, 0.4635)
Au (0.5000, 0.5000, 0.2608)



Which one sits at the bottom of the stability order? 2) does.



1) First-principles (meta-GGA SCAN) data for NiAuIO2 at its PBEsol-relaxed geometry, as listed in Alexandria via LeMat-Bulk.

Computed properties:
- SG: No. 123
- Mass density: 8163 kg/m3

a b c (Å): 3.7366 3.7366 6.0401
angles (deg): 90.00 90.00 90.00
Sites, in units of the cell vectors:
Ni (0.0000, 0.0000, 0.0000)
Au (0.5000, 0.5000, 0.5000)
I (0.0000, 0.0000, 0.5000)
O (0.0000, 0.5000, 0.0000)
O (0.5000, 0.0000, 0.0000)



2) First-principles (meta-GGA SCAN) data for NiAuIO2 at its PBEsol-relaxed geometry, as listed in Alexandria via LeMat-Bulk.

Computed properties:
- SG: No. 123
- Mass density: 8514 kg/m3

a b c (Å): 3.7369 3.7369 5.7899
angles (deg): 90.00 90.00 90.00
Sites, in units of the cell vectors:
Ni (0.0000, 0.0000, 0.0000)
Au (0.0000, 0.0000, 0.5000)
I (0.5000, 0.5000, 0.5000)
O (0.0000, 0.5000, 0.0000)
O (0.5000, 0.0000, 0.0000)



Which one sits at the bottom of the stability order? 1) does.



1) First-principles (meta-GGA SCAN) data for P10Au7I at its PBEsol-relaxed geometry, as listed in Alexandria via LeMat-Bulk.

Computed properties:
- SG: No. 162
- Mass density: 8260 kg/m3

a b c (Å): 6.1630 6.1630 11.0945
angles (deg): 90.00 90.00 120.00
Sites, in units of the cell vectors:
P (0.0000, 0.3745, 0.3014)
P (0.0000, 0.6255, 0.6986)
P (0.3333, 0.6667, 0.2071)
P (0.3333, 0.6667, 0.7929)
P (0.3745, 0.0000, 0.3014)
P (0.3745, 0.3745, 0.6986)
P (0.6255, 0.0000, 0.6986)
P (0.6255, 0.6255, 0.3014)
P (0.6667, 0.3333, 0.2071)
P (0.6667, 0.3333, 0.7929)
Au (0.0000, 0.0000, 0.2730)
Au (0.0000, 0.0000, 0.7270)
Au (0.0000, 0.5000, 0.5000)
Au (0.3333, 0.6667, 0.0000)
Au (0.5000, 0.0000, 0.5000)
Au (0.5000, 0.5000, 0.5000)
Au (0.6667, 0.3333, 0.0000)
I (0.0000, 0.0000, 0.0000)



2) First-principles (meta-GGA SCAN) data for P10Au7I at its PBEsol-relaxed geometry, as listed in Alexandria via LeMat-Bulk.

Computed properties:
- SG: No. 189
- Mass density: 8200 kg/m3

a b c (Å): 6.1478 6.1478 11.2314
angles (deg): 90.00 90.00 120.00
Sites, in units of the cell vectors:
P (0.0000, 0.3754, 0.2024)
P (0.0000, 0.3754, 0.7976)
P (0.3333, 0.6667, 0.2951)
P (0.3333, 0.6667, 0.7049)
P (0.3754, 0.0000, 0.2024)
P (0.3754, 0.0000, 0.7976)
P (0.6246, 0.6246, 0.2024)
P (0.6246, 0.6246, 0.7976)
P (0.6667, 0.3333, 0.2951)
P (0.6667, 0.3333, 0.7049)
Au (0.0000, 0.0000, 0.2321)
Au (0.0000, 0.0000, 0.7679)
Au (0.0000, 0.4571, 0.0000)
Au (0.3333, 0.6667, 0.5000)
Au (0.4571, 0.0000, 0.0000)
Au (0.5429, 0.5429, 0.0000)
Au (0.6667, 0.3333, 0.5000)
I (0.0000, 0.0000, 0.5000)



Which one sits at the bottom of the stability order? 2) does.